# AgMo3O | Alexandria via LeMat-Bulk | PBE+U | optimized geometry
data_AgMo3O
_space_group_name_H-M_alt 'P m -3 m'
_space_group_IT_number 221
_space_group_name_Hall '-P 4 2 3'
_cell_length_a 5.436
_cell_length_b 5.436
_cell_length_c 5.436
_cell_angle_alpha 90.00
_cell_angle_beta 90.00
_cell_angle_gamma 90.00
loop_
_atom_site_label
_atom_site_type_symbol
_atom_site_fract_x
_atom_site_fract_y
_atom_site_fract_z
Ag1 Ag 0.000 0.000 0.000
Mo1 Mo 0.000 0.000 0.500
O1 O 0.500 0.500 0.500
# Energy above the most stable polymorph in this dataset: 1486.8 meV per atom
# Electronic total energy: -3.581 eV per atom